(1)
The following is a PBE calculation of a relaxed CeThCu2Si2 crystal, from Alexandria via LeMat-Bulk.

Total magnetization   1.1 μB per formula unit
SG   P-3m1 (164)
ΔE_f (raw)   -0.598 eV/atom
E   -35.98 eV per cell

Structure (POSCAR):
```
CeThCu2Si2
1.0
4.1273 0.0000 0.0000
-2.0636 3.5743 0.0000
0.0000 0.0000 8.1638
Ce Th Cu Si
1 1 2 2
direct
0.0000 0.0000 0.5000
0.0000 0.0000 0.0000
0.3333 0.6667 0.7504
0.6667 0.3333 0.2496
0.3333 0.6667 0.2540
0.6667 0.3333 0.7460
```

(2)
The following is a PBE calculation of a relaxed CaCdRu2 crystal, from Alexandria via LeMat-Bulk.

Total magnetization   0.0 μB per formula unit
Calculated formation energy   0.4814 eV per atom
SG   P2/m (10)
E   -19.54 eV per cell

Structure (POSCAR):
```
CaCdRu2
1.0
-4.1442 1.3200 -1.9326
-0.2687 -2.6070 -1.2045
-2.5863 -1.9679 4.2018
Ru Ca Cd
2 1 1
direct
0.0000 0.9834 0.0316
0.0000 0.5166 0.4684
0.5000 0.2500 0.2500
0.5000 0.7500 0.7500
```

(3)
The following is a PBE calculation of a relaxed HfI4 crystal, from Alexandria via LeMat-Bulk.

Total magnetization   0.0 μB per formula unit
SG   Pa-3 (205)
ΔE_f (raw)   -0.859 eV/atom
E   -163.60 eV per cell

Structure (POSCAR):
```
HfI4
1.0
-9.2114 -5.2114 -8.2483
9.7537 -4.6351 -7.9639
0.2438 -11.4630 6.9702
I Hf
32 8
direct
0.7459 0.4778 0.9901
0.4778 0.9901 0.7459
0.2459 0.0222 0.0099
0.0222 0.0099 0.2459
0.5222 0.0099 0.2541
0.5222 0.4901 0.7541
0.0222 0.4901 0.7459
0.9901 0.7541 0.9778
0.0099 0.2541 0.5222
0.5099 0.2541 0.9778
0.9778 0.9901 0.7541
0.0099 0.2459 0.0222
0.9901 0.7459 0.4778
0.2537 0.7463 0.2463
0.7537 0.7463 0.2537
0.7463 0.2463 0.2537
0.9778 0.5099 0.2541
0.7463 0.2537 0.7537
0.4901 0.7541 0.5222
0.5099 0.2459 0.4778
0.7541 0.9778 0.9901
0.2463 0.2537 0.7463
0.7537 0.7537 0.7537
0.2459 0.4778 0.5099
0.2537 0.7537 0.7463
0.7541 0.5222 0.4901
0.2463 0.2463 0.2463
0.2541 0.5222 0.0099
0.7459 0.0222 0.4901
0.2541 0.9778 0.5099
0.4901 0.7459 0.0222
0.4778 0.5099 0.2459
0.3688 0.6312 0.1312
0.1312 0.1312 0.1312
0.8688 0.6312 0.3688
0.1312 0.3688 0.6312
0.6312 0.1312 0.3688
0.3688 0.8688 0.6312
0.8688 0.8688 0.8688
0.6312 0.3688 0.8688
```

(4)
The following is a PBE calculation of a relaxed BaNa2H8Rh crystal, from Alexandria via LeMat-Bulk.

Total magnetization   0.9 μB per formula unit
SG   P-3m1 (164)
E   -40.97 eV per cell

Structure (POSCAR):
```
BaNa2H8Rh
1.0
4.9859 0.0000 0.0000
-2.4930 4.3179 0.0000
0.0000 0.0000 6.9925
Ba Na H Rh
1 2 8 1
direct
0.0000 0.0000 0.5000
0.6667 0.3333 0.1202
0.3333 0.6667 0.8798
0.8466 0.6933 0.8542
0.3067 0.1534 0.8542
0.8466 0.1534 0.8542
0.1534 0.3067 0.1458
0.6933 0.8466 0.1458
0.1534 0.8466 0.1458
0.6667 0.3333 0.4629
0.3333 0.6667 0.5371
0.0000 0.0000 0.0000
```

(5)
The following is a PBE calculation of a relaxed PrTmHg crystal, from Alexandria via LeMat-Bulk.

Total magnetization   0.0 μB per formula unit
Calculated formation energy   -0.0930 eV per atom
SG   F-43m (216)
E   -9.83 eV per cell

Structure (POSCAR):
```
PrTmHg
1.0
-1.5832 -4.1635 2.6371
-1.7618 -4.1544 -2.5362
2.8037 -4.3502 -0.1044
Pr Tm Hg
1 1 1
direct
0.5000 0.5000 0.5000
0.0000 0.0000 0.0000
0.2500 0.2500 0.2500
```

(6)
The following is a PBE calculation of a relaxed Ce8NiIr3I4 crystal, from Alexandria via LeMat-Bulk.

Total magnetization   7.6 μB per formula unit
SG   R-3m (166)
ΔE_f (raw)   -0.832 eV/atom
E   -99.35 eV per cell

Structure (POSCAR):
```
Ce8NiIr3I4
1.0
8.3132 0.0000 0.0000
0.0000 9.2793 0.6720
-4.1566 -4.1543 5.8830
Ce Ni Ir I
8 1 3 4
direct
0.2274 0.6843 0.9569
0.2276 0.6844 0.4552
0.2710 0.3131 0.5420
0.7295 0.6843 0.9569
0.2705 0.3157 0.0431
0.7290 0.6869 0.4580
0.7724 0.3156 0.5448
0.7726 0.3157 0.0431
0.0000 0.5000 0.0000
0.5000 0.5000 0.0000
0.5000 0.5000 0.5000
0.0000 0.5000 0.5000
0.5000 0.0000 0.0000
0.5000 0.0000 0.5000
0.0000 0.0000 0.0000
0.0000 0.0000 0.5000
```

(7)
The following is a PBE calculation of a relaxed PmTaSn crystal, from Alexandria via LeMat-Bulk.

Total magnetization   0.0 μB per formula unit
Calculated formation energy   -0.1800 eV per atom
SG   Cmcm (63)
E   -42.29 eV per cell

Structure (POSCAR):
```
PmTaSn
1.0
3.5609 0.0000 0.0000
0.0000 3.5507 0.0000
0.0000 1.7753 11.9843
Sn Pm Ta
2 2 2
direct
0.2500 0.1542 0.6916
0.7500 0.8458 0.3084
0.2500 0.4326 0.1349
0.7500 0.5674 0.8651
0.7500 0.7222 0.5557
0.2500 0.2778 0.4443
```

(8)
The following is a PBE calculation of a relaxed Nd2SbO crystal, from Alexandria via LeMat-Bulk.

Total magnetization   0.0 μB per formula unit
SG   P4/nmm (129)
ΔE_f (raw)   -2.006 eV/atom
E   -53.28 eV per cell

Structure (POSCAR):
```
Nd2SbO
1.0
-3.5104 1.0100 -2.8634
2.7904 -0.6524 -3.6510
-2.3490 -8.7981 -0.2216
Nd Sb O
4 2 2
direct
0.7502 0.7502 0.8450
0.7500 0.2500 0.5000
0.2498 0.2498 0.1550
0.2500 0.7500 0.5000
0.2502 0.2502 0.7968
0.7498 0.7498 0.2032
0.2500 0.2500 0.4205
0.7500 0.7500 0.5795
```